Entry 1:
Tb6PrY2Er3 after structural relaxation. Source: Alexandria via LeMat-Bulk, functional GGA-PBE.

Structure (CIF):
```
data_Tb6PrY2Er3
_chemical_formula_sum 'Tb12 Pr2 Y4 Er6'
_cell_length_a 6.170
_cell_length_b 10.678
_cell_length_c 11.809
_cell_angle_alpha 90.00
_cell_angle_beta 99.98
_cell_angle_gamma 90.00
_symmetry_space_group_name_H-M 'C 1 2/m 1'
_symmetry_Int_Tables_number 12
loop_
_symmetry_equiv_pos_as_xyz
'x,y,z'
'-x,-y,-z'
'-x,y,-z'
'x,-y,z'
'x+1/2,y+1/2,z'
'-x+1/2,-y+1/2,-z'
'-x+1/2,y+1/2,-z'
'x+1/2,-y+1/2,z'
loop_
_atom_site_label
_atom_site_fract_x
_atom_site_fract_y
_atom_site_fract_z
Tb1 0.248 0.167 0.246
Tb2 0.249 0.500 0.247
Pr1 0.000 0.500 0.500
Y1 0.000 0.167 0.500
Er1 0.000 0.000 0.000
Er2 0.000 0.333 0.000
```

Values from the calculation:
Formation energy from the elements   18 meV/atom

Entry 2:
TaHgAs2 after structural relaxation. Source: Alexandria via LeMat-Bulk, functional GGA-PBE.

Structure (CIF):
```
data_TaHgAs2
_chemical_formula_sum 'Ta1 Hg1 As2'
_cell_length_a 3.704
_cell_length_b 3.704
_cell_length_c 6.029
_cell_angle_alpha 90.00
_cell_angle_beta 90.00
_cell_angle_gamma 90.00
_symmetry_space_group_name_H-M 'P 4 m m'
_symmetry_Int_Tables_number 99
loop_
_symmetry_equiv_pos_as_xyz
'x,y,z'
'-y,x,z'
'-x,-y,z'
'y,-x,z'
'-x,y,z'
'y,x,z'
'x,-y,z'
'-y,-x,z'
loop_
_atom_site_label
_atom_site_fract_x
_atom_site_fract_y
_atom_site_fract_z
Ta1 0.000 0.000 0.000
Hg1 0.500 0.500 0.686
As1 0.000 0.000 0.569
As2 0.500 0.500 0.139
```

Values from the calculation:
Formation energy from the elements   194 meV/atom

Entry 3:
Rb2TiPbI6 after structural relaxation. Source: Alexandria via LeMat-Bulk, functional GGA-PBE.

Structure (CIF):
```
data_Rb2TiPbI6
_chemical_formula_sum 'Rb8 Ti4 Pb4 I24'
_cell_length_a 12.162
_cell_length_b 12.162
_cell_length_c 12.162
_cell_angle_alpha 90.00
_cell_angle_beta 90.00
_cell_angle_gamma 90.00
_symmetry_space_group_name_H-M 'F m -3 m'
_symmetry_Int_Tables_number 225
_symmetry_space_group_name_Hall '-F 4 2 3'
loop_
_atom_site_label
_atom_site_fract_x
_atom_site_fract_y
_atom_site_fract_z
Rb1 0.250 0.250 0.250
Ti1 0.000 0.000 0.000
Pb1 0.000 0.000 0.500
I1 0.000 0.000 0.238
```

Values from the calculation:
Uncorrected formation energy   -0.903 eV per atom

Entry 4:
Mn2CuRh after structural relaxation. Source: Alexandria via LeMat-Bulk, functional GGA-PBE.

Structure (CIF):
```
data_Mn2CuRh
_chemical_formula_sum 'Mn6 Cu3 Rh3'
_cell_length_a 2.6062
_cell_length_b 2.6062
_cell_length_c 25.2704
_cell_angle_alpha 90.00
_cell_angle_beta 90.00
_cell_angle_gamma 120.00
_symmetry_space_group_name_H-M 'R 3 m'
_symmetry_Int_Tables_number 160
_symmetry_space_group_name_Hall 'R 3 -2"'
loop_
_atom_site_label
_atom_site_fract_x
_atom_site_fract_y
_atom_site_fract_z
Mn1 0.0000 0.0000 0.0000
Mn2 0.0000 0.0000 0.2563
Cu1 0.0000 0.0000 0.7507
Rh1 0.0000 0.0000 0.5061
```

Values from the calculation:
Formation energy from the elements   128 meV/atom

Entry 5:
IrC3 after structural relaxation. Source: Alexandria via LeMat-Bulk, functional GGA-PBE.

Structure (CIF):
```
data_IrC3
_chemical_formula_sum 'Ir2 C6'
_cell_length_a 5.095
_cell_length_b 3.178
_cell_length_c 5.313
_cell_angle_alpha 90.00
_cell_angle_beta 106.26
_cell_angle_gamma 90.00
_symmetry_space_group_name_H-M 'C 1 2/m 1'
_symmetry_Int_Tables_number 12
loop_
_symmetry_equiv_pos_as_xyz
'x,y,z'
'-x,-y,-z'
'-x,y,-z'
'x,-y,z'
'x+1/2,y+1/2,z'
'-x+1/2,-y+1/2,-z'
'-x+1/2,y+1/2,-z'
'x+1/2,-y+1/2,z'
loop_
_atom_site_label
_atom_site_fract_x
_atom_site_fract_y
_atom_site_fract_z
Ir1 0.000 0.000 0.000
C1 0.000 0.500 0.500
C2 0.087 0.500 0.756
```

Values from the calculation:
Energy relative to the lowest polymorph listed for this composition   272.5 meV per atom
Formation energy from the elements   989 meV/atom

Entry 6:
Rb3Ni5Te12 after structural relaxation. Source: Alexandria via LeMat-Bulk, functional GGA-PBE.

Structure (CIF):
```
data_Rb3Ni5Te12
_chemical_formula_sum 'Rb24 Ni40 Te96'
_cell_length_a 17.270
_cell_length_b 17.270
_cell_length_c 17.270
_cell_angle_alpha 90.00
_cell_angle_beta 90.00
_cell_angle_gamma 90.00
_symmetry_space_group_name_H-M 'I a -3 d'
_symmetry_Int_Tables_number 230
_symmetry_space_group_name_Hall '-I 4bd 2c 3'
loop_
_atom_site_label
_atom_site_fract_x
_atom_site_fract_y
_atom_site_fract_z
Rb1 0.000 0.250 0.125
Ni1 0.000 0.000 0.000
Ni2 0.000 0.250 0.375
Te1 0.050 0.130 0.935
```

Values from the calculation:
Uncorrected formation energy   -0.156 eV per atom

In the order shown, the computed N(E_F) values come out to 15.685 1.595 10.075 5.170 2.258 13.499 states/eV/f.u..